Entry 1:
Compound: Cs3Cu2AgF6
Source: the Alexandria database
Functional: GGA-PBE
Structure: relaxed

Total DFT energy (no corrections) in eV/atom: -3.84
Uncorrected formation energy in meV per atom: -1774
Size of the total moment in μB per cell: 0.22

a b c (Å): 6.6057 6.6057 7.7831
angles (deg): 90.00 90.00 120.00
Space group P-3m1 (No. 164)
Unique sites:
Cs 0.0000 0.0000 0.0000 (multiplicity 1)
Cs 0.3333 0.6667 0.6855 (multiplicity 2)
Cu 0.3333 0.6667 0.2621 (multiplicity 2)
Ag 0.0000 0.0000 0.5000 (multiplicity 1)
F 0.1636 0.3273 0.2884 (multiplicity 6)

***

Entry 2:
Compound: ErMn3Pd6
Source: the Alexandria database
Functional: GGA-PBE
Structure: relaxed

Total DFT energy (no corrections) in eV/atom: -6.74
Size of the total moment in μB per cell: 26.72

a b c (Å): 8.398 4.208 9.222
angles (deg): 90.00 96.46 90.00
Space group P2_1/m (No. 11)
Unique sites:
Er 0.065 0.250 0.376 (multiplicity 2)
Mn 0.251 0.250 0.027 (multiplicity 2)
Mn 0.345 0.750 0.816 (multiplicity 2)
Mn 0.446 0.250 0.605 (multiplicity 2)
Pd 0.062 0.750 0.915 (multiplicity 2)
Pd 0.164 0.750 0.209 (multiplicity 2)
Pd 0.165 0.250 0.720 (multiplicity 2)
Pd 0.268 0.750 0.519 (multiplicity 2)
Pd 0.385 0.250 0.311 (multiplicity 2)
Pd 0.466 0.750 0.101 (multiplicity 2)

***

Entry 3:
Compound: PaBiI6
Source: the Alexandria database
Functional: GGA-PBE
Structure: relaxed

Total DFT energy (no corrections) in eV/atom: -3.49
Uncorrected formation energy in meV per atom: -657
Size of the total moment in μB per cell: 2.41

a b c (Å): 8.090 13.934 8.305
angles (deg): 90.00 105.98 90.00
Space group C2/m (No. 12)
Unique sites:
Pa 0.000 0.000 0.000 (multiplicity 2)
Bi 0.000 0.000 0.500 (multiplicity 2)
I 0.112 0.152 0.784 (multiplicity 8)
I 0.148 0.500 0.777 (multiplicity 4)